# Nd3In, relaxed, DFT PBE
# Energy of formation: -0.235 eV/atom
# Calculated density: 7.14 g/cm3
data_Nd3In
_chemical_formula_sum 'Nd6 In2'
_space_group_name_H-M_alt 'I m m 2'
_space_group_IT_number 44
_cell_length_a 3.6461
_cell_length_b 11.4286
_cell_length_c 6.1129
_cell_angle_alpha 90.00
_cell_angle_beta 90.00
_cell_angle_gamma 90.00
loop_
_space_group_symop_operation_xyz
'x,y,z'
'-x,-y,z'
'-x,y,z'
'x,-y,z'
'x+1/2,y+1/2,z+1/2'
'-x+1/2,-y+1/2,z+1/2'
'-x+1/2,y+1/2,z+1/2'
'x+1/2,-y+1/2,z+1/2'
loop_
_atom_site_label
_atom_site_fract_x
_atom_site_fract_y
_atom_site_fract_z
Nd1 0.0000 0.0000 0.0000
Nd2 0.0000 0.2284 0.3677
In1 0.0000 0.5000 0.0356